VASP calculation (PBE) on a relaxed structure of CuBiCBr2.

a = 5.5238 Å, b = 5.5238 Å, c = 3.6519 Å
α = 90.00°, β = 90.00°, γ = 90.00°
Closest atoms and distances in Å follow each position.
Fractional coordinates of all 5 atoms:
1 Br 0.0000 0.5000 0.0000  2 C 2.76
2 Br 0.5000 0.0000 0.0000  2 C 2.76
3 Bi 0.5000 0.5000 0.5000  8 Br 3.31, 2 Bi 3.65
4 C 0.0000 0.0000 0.0000  2 Cu 1.83
5 Cu 0.0000 0.0000 0.5000  2 C 1.83

Properties
E_form (uncorrected), kcal/mol of atoms: 19.3

VASP calculation (PBE) on a relaxed structure of BiHC2Br.

a = 4.3710 Å, b = 3.6737 Å, c = 4.3710 Å
α = 90.00°, β = 90.00°, γ = 90.00°
Closest atoms and distances in Å follow each position.
Fractional coordinates of all 5 atoms:
1 Bi 0.5000 0.5000 0.5000  8 C 2.85, 4 Br 3.09
2 C 0.0000 0.0000 0.5000  2 H 2.19
3 H 0.0000 0.0000 0.0000  2 Br 1.84
4 C 0.5000 0.0000 0.0000  2 H 2.19
5 Br 0.0000 0.5000 0.0000  2 H 1.84

Properties
Raw total energy, eV per atom: -3.01

VASP calculation (PBE) on a relaxed structure of In2BiCBr.

a = 6.3572 Å, b = 4.3671 Å, c = 6.3572 Å
α = 90.00°, β = 90.00°, γ = 90.00°
Closest atoms and distances in Å follow each position.
Fractional coordinates of all 5 atoms:
1 C 0.0000 0.5000 0.0000  2 Bi 2.18
2 In 0.5000 0.0000 0.0000  2 Bi 3.18
3 In 0.0000 0.0000 0.5000  2 Bi 3.18
4 Bi 0.0000 0.0000 0.0000  2 C 2.18
5 Br 0.5000 0.5000 0.5000  8 In 3.86

Properties
E_form (uncorrected), kcal/mol of atoms: 21.7

VASP calculation (PBE) on a relaxed structure of InBiCBr2.

a = 4.9651 Å, b = 4.7206 Å, c = 4.9651 Å
α = 90.00°, β = 90.00°, γ = 90.00°
Closest atoms and distances in Å follow each position.
Fractional coordinates of all 5 atoms:
1 Bi 0.5000 0.5000 0.5000  8 Br 3.43, 4 In 3.51
2 In 0.0000 0.5000 0.0000  2 C 2.36
3 Br 0.5000 0.0000 0.0000  2 C 2.48
4 Br 0.0000 0.0000 0.5000  2 C 2.48
5 C 0.0000 0.0000 0.0000  2 In 2.36, 4 Br 2.48

Properties
E_form (uncorrected), kcal/mol of atoms: 20.6

VASP calculation (PBE) on a relaxed structure of KBiC2Br.

a = 4.5582 Å, b = 11.1106 Å, c = 4.5582 Å
α = 90.00°, β = 90.00°, γ = 90.00°
Closest atoms and distances in Å follow each position.
Fractional coordinates of all 5 atoms:
1 Br 0.5000 0.5000 0.5000  4 K 3.22
2 C 0.0000 0.0000 0.5000  2 Bi 2.28
3 K 0.0000 0.5000 0.0000  4 Br 3.22
4 C 0.5000 0.0000 0.0000  2 Bi 2.28
5 Bi 0.0000 0.0000 0.0000  4 C 2.28

Properties
E_form (uncorrected), kcal/mol of atoms: 36.1

VASP calculation (PBE) on a relaxed structure of NbBi2CBr.

a = 5.6827 Å, b = 3.7885 Å, c = 5.6827 Å
α = 90.00°, β = 90.00°, γ = 90.00°
Closest atoms and distances in Å follow each position.
Fractional coordinates of all 5 atoms:
1 Bi 0.5000 0.0000 0.0000  2 Br 2.84
2 Nb 0.5000 0.5000 0.5000  8 Bi 3.41, 2 Nb 3.79
3 C 0.0000 0.5000 0.0000  2 Br 1.89
4 Bi 0.0000 0.0000 0.5000  2 Br 2.84
5 Br 0.0000 0.0000 0.0000  2 C 1.89

Properties
E_form (uncorrected), kcal/mol of atoms: 45.4

VASP calculation (PBE) on a relaxed structure of Bi2C2BrO6.

a = 5.6572 Å, b = 7.1289 Å, c = 6.5374 Å
α = 121.07°, β = 89.53°, γ = 63.45°
Closest atoms and distances in Å follow each position.
Fractional coordinates of all 11 atoms:
1 C 0.1613 0.6700 0.8223  3 O 1.25-1.33
2 O 0.6450 0.3301 0.0650  1 C 1.33
3 Br 0.5000 0.0000 0.5000  4 Bi 3.13-3.50, 2 O 3.39
4 Bi 0.1473 0.6737 0.2682  5 O 2.39-2.50
5 O 0.9628 0.6722 0.9337  1 C 1.32
6 Bi 0.8527 0.3263 0.7318  5 O 2.39-2.50
7 C 0.8387 0.3300 0.1777  3 O 1.25-1.33
8 O 0.3550 0.6699 0.9350  1 C 1.33
9 O 0.0372 0.3278 0.0663  1 C 1.32
10 O 0.1642 0.6722 0.6322  1 C 1.25
11 O 0.8358 0.3278 0.3678  1 C 1.25

Properties
E_form (uncorrected), kcal/mol of atoms: -25.4

VASP calculation (PBE) on a relaxed structure of BiPdC2Br.

a = 4.4760 Å, b = 6.0575 Å, c = 4.4760 Å
α = 90.00°, β = 90.00°, γ = 90.00°
Closest atoms and distances in Å follow each position.
Fractional coordinates of all 5 atoms:
1 Pd 0.5000 0.5000 0.5000  4 Br 3.17
2 C 0.0000 0.0000 0.5000  2 Bi 2.24
3 Br 0.0000 0.5000 0.0000  2 Bi 3.03, 4 Pd 3.17
4 C 0.5000 0.0000 0.0000  2 Bi 2.24
5 Bi 0.0000 0.0000 0.0000  4 C 2.24

Properties
E_form (uncorrected), kcal/mol of atoms: 56.5

VASP calculation (PBE) on a relaxed structure of BiCS2Br.

a = 4.2534 Å, b = 5.3223 Å, c = 4.2534 Å
α = 90.00°, β = 90.00°, γ = 90.00°
Closest atoms and distances in Å follow each position.
Fractional coordinates of all 5 atoms:
1 S 0.5000 0.0000 0.0000  2 C 2.13
2 C 0.0000 0.0000 0.0000  4 S 2.13
3 Bi 0.0000 0.5000 0.0000  2 C 2.66
4 Br 0.5000 0.5000 0.5000  4 Bi 3.01
5 S 0.0000 0.0000 0.5000  2 C 2.13

Properties
E_form (uncorrected), kcal/mol of atoms: 23.0

VASP calculation (PBE) on a relaxed structure of BiCSe2Br.

a = 5.6444 Å, b = 5.6444 Å, c = 5.6183 Å
α = 90.00°, β = 90.00°, γ = 90.00°
Closest atoms and distances in Å follow each position.
Fractional coordinates of all 5 atoms:
1 Se 0.0000 0.5000 0.0000  2 Bi 2.82
2 C 0.5000 0.5000 0.5000  8 Se 3.98, 4 Br 3.99
3 Bi 0.0000 0.0000 0.0000  2 Br 2.81, 4 Se 2.82
4 Se 0.5000 0.0000 0.0000  2 Bi 2.82
5 Br 0.0000 0.0000 0.5000  2 Bi 2.81

Properties
Distance to the lowest polymorph of the same formula, eV/atom: 0.7777
E_form (uncorrected), kcal/mol of atoms: 38.2

VASP calculation (PBE) on a relaxed structure of BiCSeBr2.

a = 4.7513 Å, b = 4.7513 Å, c = 4.6861 Å
α = 90.00°, β = 90.00°, γ = 90.00°
Closest atoms and distances in Å follow each position.
Fractional coordinates of all 5 atoms:
1 Br 0.0000 0.5000 0.0000  2 C 2.38
2 Se 0.0000 0.0000 0.5000  2 C 2.34
3 Bi 0.5000 0.5000 0.5000  8 Br 3.34, 4 Se 3.36
4 Br 0.5000 0.0000 0.0000  2 C 2.38
5 C 0.0000 0.0000 0.0000  2 Se 2.34, 4 Br 2.38

Properties
Distance to the lowest polymorph of the same formula, eV/atom: 0.0000
E_form (uncorrected), kcal/mol of atoms: 20.9

VASP calculation (PBE) on a relaxed structure of BiCSeBr2.

a = 5.6522 Å, b = 5.6522 Å, c = 5.7538 Å
α = 90.00°, β = 90.00°, γ = 90.00°
Closest atoms and distances in Å follow each position.
Fractional coordinates of all 5 atoms:
1 Br 0.5000 0.0000 0.0000  2 Bi 2.83
2 Br 0.0000 0.5000 0.0000  2 Bi 2.83
3 Se 0.0000 0.0000 0.5000  2 Bi 2.88
4 C 0.5000 0.5000 0.5000  4 Se 4.00, 8 Br 4.03
5 Bi 0.0000 0.0000 0.0000  4 Br 2.83, 2 Se 2.88

Properties
Distance to the lowest polymorph of the same formula, eV/atom: 0.4637
E_form (uncorrected), kcal/mol of atoms: 31.6

| no. | Fermi-level density of states (states/eV/cell) |
| --- | --- |
| 1 | 2.983 |
| 2 | 3.012 |
| 3 | 2.303 |
| 4 | 3.017 |
| 5 | 1.740 |
| 6 | 7.276 |
| 7 | 1.472 |
| 8 | 3.201 |
| 9 | 3.589 |
| 10 | 5.941 |
| 11 | 2.704 |
| 12 | 6.328 |